# CsZrSe2I, optimized geometry, DFT PBE
# theoretical density: 4.981 g cm⁻³
# raw total energy: -4.745 eV per atom
# raw formation energy: -1161 meV per atom
data_CsZrSe2I
_cell_length_a 5.317
_cell_length_b 5.317
_cell_length_c 6.003
_cell_angle_alpha 90.00
_cell_angle_beta 90.00
_cell_angle_gamma 90.00
_space_group_name_H-M_alt 'P 1'
_space_group_IT_number 1
_space_group_name_Hall 'P 1'
loop_
_atom_site_label
_atom_site_type_symbol
_atom_site_fract_x
_atom_site_fract_y
_atom_site_fract_z
_atom_site_occupancy
Cs1 Cs 0.000 0.000 0.000 1
Zr1 Zr 0.500 0.500 0.500 1
Se1 Se 0.000 0.500 0.500 1
Se2 Se 0.500 0.000 0.500 1
I1 I 0.500 0.500 0.000 1

# Ce3Ga8, optimized geometry, DFT PBE
# theoretical density: 6.975 g cm⁻³
# raw total energy: -4.338 eV per atom
# ΔE_f: -5.70 eV per formula unit
data_Ce3Ga8
_cell_length_a 13.040
_cell_length_b 13.040
_cell_length_c 13.040
_cell_angle_alpha 161.19
_cell_angle_beta 160.98
_cell_angle_gamma 26.87
_space_group_name_H-M_alt 'P 1'
_space_group_IT_number 1
_space_group_name_Hall 'P 1'
loop_
_atom_site_label
_atom_site_type_symbol
_atom_site_fract_x
_atom_site_fract_y
_atom_site_fract_z
_atom_site_occupancy
Ce1 Ce 0.000 0.000 0.000 1
Ce2 Ce 0.354 0.854 0.500 1
Ce3 Ce 0.646 0.146 0.500 1
Ga1 Ga 0.095 0.595 0.500 1
Ga2 Ga 0.192 0.692 0.500 1
Ga3 Ga 0.251 0.251 0.000 1
Ga4 Ga 0.452 0.452 0.000 1
Ga5 Ga 0.548 0.548 0.000 1
Ga6 Ga 0.749 0.749 0.000 1
Ga7 Ga 0.808 0.308 0.500 1
Ga8 Ga 0.905 0.405 0.500 1

# Ce2Pm5Dy5, optimized geometry, DFT PBE
# theoretical density: 7.752 g cm⁻³
# raw total energy: -4.784 eV per atom
# ΔE_f: 1.22 eV per formula unit
data_Ce2Pm5Dy5
_cell_length_a 8.983
_cell_length_b 8.983
_cell_length_c 9.807
_cell_angle_alpha 122.90
_cell_angle_beta 122.90
_cell_angle_gamma 36.88
_space_group_name_H-M_alt 'P 1'
_space_group_IT_number 1
_space_group_name_Hall 'P 1'
loop_
_atom_site_label
_atom_site_type_symbol
_atom_site_fract_x
_atom_site_fract_y
_atom_site_fract_z
_atom_site_occupancy
Ce1 Ce 0.123 0.123 0.456 1
Ce2 Ce 0.877 0.877 0.544 1
Pm1 Pm 0.000 0.000 0.000 1
Pm2 Pm 0.121 0.121 0.778 1
Pm3 Pm 0.249 0.249 0.245 1
Pm4 Pm 0.751 0.751 0.755 1
Pm5 Pm 0.879 0.879 0.222 1
Dy1 Dy 0.372 0.372 0.697 1
Dy2 Dy 0.377 0.377 0.040 1
Dy3 Dy 0.500 0.500 0.500 1
Dy4 Dy 0.623 0.623 0.960 1
Dy5 Dy 0.628 0.628 0.303 1

# LaBeRh2, optimized geometry, DFT PBE
# theoretical density: 8.625 g cm⁻³
# raw total energy: -6.046 eV per atom
# ΔE_f: -0.83 eV per formula unit
data_LaBeRh2
_cell_length_a 3.885
_cell_length_b 3.885
_cell_length_c 9.027
_cell_angle_alpha 90.00
_cell_angle_beta 90.00
_cell_angle_gamma 90.00
_space_group_name_H-M_alt 'P 1'
_space_group_IT_number 1
_space_group_name_Hall 'P 1'
loop_
_atom_site_label
_atom_site_type_symbol
_atom_site_fract_x
_atom_site_fract_y
_atom_site_fract_z
_atom_site_occupancy
La1 La 0.000 0.000 0.000 1
La2 La 0.500 0.500 0.500 1
Be1 Be 0.000 0.500 0.250 1
Be2 Be 0.500 0.000 0.750 1
Rh1 Rh 0.000 0.000 0.500 1
Rh2 Rh 0.000 0.500 0.750 1
Rh3 Rh 0.500 0.000 0.250 1
Rh4 Rh 0.500 0.500 0.000 1

# SmHo2Ge, optimized geometry, DFT PBE
# theoretical density: 7.597 g cm⁻³
# raw total energy: -4.476 eV per atom
# ΔE_f: 0.59 eV per formula unit
# offset from the most stable computed form: 0.390 eV/atom
data_SmHo2Ge
_cell_length_a 3.479
_cell_length_b 3.479
_cell_length_c 34.593
_cell_angle_alpha 90.00
_cell_angle_beta 90.00
_cell_angle_gamma 120.00
_space_group_name_H-M_alt 'P 1'
_space_group_IT_number 1
_space_group_name_Hall 'P 1'
loop_
_atom_site_label
_atom_site_type_symbol
_atom_site_fract_x
_atom_site_fract_y
_atom_site_fract_z
_atom_site_occupancy
Sm1 Sm 0.000 0.000 0.000 1
Sm2 Sm 0.333 0.667 0.667 1
Sm3 Sm 0.667 0.333 0.333 1
Ho1 Ho 0.000 0.000 0.417 1
Ho2 Ho 0.000 0.000 0.583 1
Ho3 Ho 0.333 0.667 0.083 1
Ho4 Ho 0.333 0.667 0.250 1
Ho5 Ho 0.667 0.333 0.750 1
Ho6 Ho 0.667 0.333 0.917 1
Ge1 Ge 0.000 0.000 0.500 1
Ge2 Ge 0.333 0.667 0.167 1
Ge3 Ge 0.667 0.333 0.833 1

# BaLiCl2, optimized geometry, DFT PBE
# theoretical density: 3.290 g cm⁻³
# raw total energy: -3.531 eV per atom
# offset from the most stable computed form: 0.078 eV/atom
# raw formation energy: -1649 meV per atom
data_BaLiCl2
_cell_length_a 3.801
_cell_length_b 4.178
_cell_length_c 6.840
_cell_angle_alpha 90.00
_cell_angle_beta 90.00
_cell_angle_gamma 90.00
_space_group_name_H-M_alt 'P 1'
_space_group_IT_number 1
_space_group_name_Hall 'P 1'
loop_
_atom_site_label
_atom_site_type_symbol
_atom_site_fract_x
_atom_site_fract_y
_atom_site_fract_z
_atom_site_occupancy
Ba1 Ba 0.000 0.000 0.000 1
Li1 Li 0.000 0.500 0.500 1
Cl1 Cl 0.500 0.500 0.246 1
Cl2 Cl 0.500 0.500 0.754 1

# PmDyTlZn, optimized geometry, DFT PBE
# theoretical density: 9.247 g cm⁻³
# raw total energy: -3.602 eV per atom
# ΔE_f: -1.42 eV per formula unit
# offset from the most stable computed form: 0.000 eV/atom
data_PmDyTlZn
_cell_length_a 3.705
_cell_length_b 3.705
_cell_length_c 7.551
_cell_angle_alpha 90.00
_cell_angle_beta 90.00
_cell_angle_gamma 90.00
_space_group_name_H-M_alt 'P 1'
_space_group_IT_number 1
_space_group_name_Hall 'P 1'
loop_
_atom_site_label
_atom_site_type_symbol
_atom_site_fract_x
_atom_site_fract_y
_atom_site_fract_z
_atom_site_occupancy
Pm1 Pm 0.000 0.000 0.000 1
Dy1 Dy 0.000 0.000 0.544 1
Tl1 Tl 0.500 0.500 0.282 1
Zn1 Zn 0.500 0.500 0.759 1

# Pm2PaH, optimized geometry, DFT PBE
# theoretical density: 9.576 g cm⁻³
# raw total energy: -5.405 eV per atom
# offset from the most stable computed form: 0.054 eV/atom
data_Pm2PaH
_cell_length_a 3.268
_cell_length_b 3.268
_cell_length_c 8.476
_cell_angle_alpha 90.00
_cell_angle_beta 90.00
_cell_angle_gamma 90.00
_space_group_name_H-M_alt 'P 1'
_space_group_IT_number 1
_space_group_name_Hall 'P 1'
loop_
_atom_site_label
_atom_site_type_symbol
_atom_site_fract_x
_atom_site_fract_y
_atom_site_fract_z
_atom_site_occupancy
Pm1 Pm 0.000 0.000 0.196 1
Pm2 Pm 0.000 0.000 0.804 1
Pa1 Pa 0.500 0.500 0.500 1
H1 H 0.500 0.500 0.000 1

# Y2CdCl, optimized geometry, DFT PBE
# theoretical density: 5.115 g cm⁻³
# raw total energy: -4.540 eV per atom
# offset from the most stable computed form: 0.177 eV/atom
# raw formation energy: -618 meV per atom
data_Y2CdCl
_cell_length_a 3.423
_cell_length_b 4.992
_cell_length_c 12.371
_cell_angle_alpha 90.00
_cell_angle_beta 90.00
_cell_angle_gamma 90.00
_space_group_name_H-M_alt 'P 1'
_space_group_IT_number 1
_space_group_name_Hall 'P 1'
loop_
_atom_site_label
_atom_site_type_symbol
_atom_site_fract_x
_atom_site_fract_y
_atom_site_fract_z
_atom_site_occupancy
Y1 Y 0.000 0.000 0.000 1
Y2 Y 0.000 0.500 0.250 1
Y3 Y 0.500 0.000 0.750 1
Y4 Y 0.500 0.500 0.500 1
Cd1 Cd 0.000 0.500 0.814 1
Cd2 Cd 0.500 0.000 0.314 1
Cl1 Cl 0.000 0.000 0.565 1
Cl2 Cl 0.500 0.500 0.065 1

# TcBiOs3, optimized geometry, DFT PBE
# theoretical density: 13.807 g cm⁻³
# raw total energy: -7.654 eV per atom
# ΔE_f: 9.67 eV per formula unit
# offset from the most stable computed form: 0.000 eV/atom
data_TcBiOs3
_cell_length_a 4.726
_cell_length_b 4.726
_cell_length_c 4.726
_cell_angle_alpha 90.00
_cell_angle_beta 90.00
_cell_angle_gamma 90.00
_space_group_name_H-M_alt 'P 1'
_space_group_IT_number 1
_space_group_name_Hall 'P 1'
loop_
_atom_site_label
_atom_site_type_symbol
_atom_site_fract_x
_atom_site_fract_y
_atom_site_fract_z
_atom_site_occupancy
Tc1 Tc 0.000 0.000 0.000 1
Bi1 Bi 0.500 0.500 0.500 1
Os1 Os 0.000 0.000 0.500 1
Os2 Os 0.000 0.500 0.000 1
Os3 Os 0.500 0.000 0.000 1

# Ca2PmHg3, optimized geometry, DFT PBE
# theoretical density: 8.379 g cm⁻³
# raw total energy: -2.160 eV per atom
# ΔE_f: -3.30 eV per formula unit
# offset from the most stable computed form: 0.000 eV/atom
data_Ca2PmHg3
_cell_length_a 5.356
_cell_length_b 5.356
_cell_length_c 6.596
_cell_angle_alpha 90.00
_cell_angle_beta 90.00
_cell_angle_gamma 120.00
_space_group_name_H-M_alt 'P 1'
_space_group_IT_number 1
_space_group_name_Hall 'P 1'
loop_
_atom_site_label
_atom_site_type_symbol
_atom_site_fract_x
_atom_site_fract_y
_atom_site_fract_z
_atom_site_occupancy
Ca1 Ca 0.333 0.667 0.161 1
Ca2 Ca 0.667 0.333 0.839 1
Pm1 Pm 0.000 0.000 0.500 1
Hg1 Hg 0.000 0.000 0.000 1
Hg2 Hg 0.333 0.667 0.661 1
Hg3 Hg 0.667 0.333 0.339 1

# FeAg2HgCl6, optimized geometry, DFT PBE
# theoretical density: 4.759 g cm⁻³
# raw total energy: -3.011 eV per atom
# raw formation energy: -456 meV per atom
data_FeAg2HgCl6
_cell_length_a 7.122
_cell_length_b 7.122
_cell_length_c 7.122
_cell_angle_alpha 57.21
_cell_angle_beta 57.21
_cell_angle_gamma 57.21
_space_group_name_H-M_alt 'P 1'
_space_group_IT_number 1
_space_group_name_Hall 'P 1'
loop_
_atom_site_label
_atom_site_type_symbol
_atom_site_fract_x
_atom_site_fract_y
_atom_site_fract_z
_atom_site_occupancy
Fe1 Fe 0.000 0.000 0.000 1
Ag1 Ag 0.203 0.203 0.203 1
Ag2 Ag 0.655 0.655 0.655 1
Hg1 Hg 0.366 0.366 0.366 1
Cl1 Cl 0.065 0.810 0.352 1
Cl2 Cl 0.207 0.655 0.918 1
Cl3 Cl 0.352 0.065 0.810 1
Cl4 Cl 0.655 0.918 0.207 1
Cl5 Cl 0.810 0.352 0.065 1
Cl6 Cl 0.918 0.207 0.655 1